{
  "formula": "Sc3AuN",
  "functional": "PBE-GGA",
  "state": "relaxed",
  "lattice": [[6.890, -1.814, 0.000], [6.890, 1.814, 0.000], [-0.598, 0.000, 7.735]],
  "species": ["Sc", "Sc", "Sc", "Sc", "Sc", "Sc", "Au", "Au", "N", "N"],
  "fractional_positions": [[0.015, 0.015, 0.291], [0.202, 0.202, 0.132], [0.338, 0.338, 0.467], [0.662, 0.662, 0.533], [0.798, 0.798, 0.868], [0.985, 0.985, 0.709], [0.403, 0.403, 0.080], [0.597, 0.597, 0.920], [0.176, 0.176, 0.390], [0.824, 0.824, 0.610]],
  "vol_a3_per_cell": 193
}

{
  "formula": "LiInSn",
  "functional": "PBE-GGA",
  "state": "relaxed",
  "lattice": [[5.234, -1.698, 0.000], [5.234, 1.698, 0.000], [-3.364, 0.000, 8.014]],
  "species": ["Li", "Li", "In", "In", "Sn", "Sn"],
  "fractional_positions": [[0.000, 0.000, 0.000], [0.000, 0.000, 0.500], [0.334, 0.334, 0.665], [0.666, 0.666, 0.335], [0.336, 0.336, 0.165], [0.664, 0.664, 0.835]],
  "formation_enthalpy_0k_mev_per_atom": -171,
  "vol_a3_per_cell": 142
}

{
  "formula": "Li2ZnAs",
  "functional": "PBE-GGA",
  "state": "relaxed",
  "lattice": [[-1.967, 1.967, 8.951], [1.967, -1.967, 8.951], [1.967, 1.967, -8.951]],
  "species": ["Li", "Li", "Li", "Li", "Zn", "Zn", "As", "As"],
  "fractional_positions": [[0.098, 0.625, 0.973], [0.375, 0.348, 0.473], [0.652, 0.125, 0.027], [0.875, 0.902, 0.527], [0.250, 0.750, 0.500], [0.500, 0.500, 0.000], [0.000, 0.000, 0.000], [0.750, 0.250, 0.500]],
  "formation_enthalpy_0k_mev_per_atom": -168,
  "polymorph_energy_ev_per_atom": 0.2314,
  "vol_a3_per_cell": 139
}

| no. | total DFT energy (no corrections) (eV/atom) |
| --- | --- |
| 1 | -6.962 |
| 2 | -3.057 |
| 3 | -2.605 |